Entry from the Alexandria database: an optimized crystal structure of RePPt (PBE-GGA).

a b c (Å): 2.9923 2.9923 9.6258
angles (deg): 90.00 90.00 90.00
Space group I4mm (No. 107)
Unique sites:
Re 0.0000 0.0000 0.0000 [2 per cell]
P 0.0000 0.0000 0.3745 [2 per cell]
Pt 0.0000 0.0000 0.7022 [2 per cell]

- E_tot: -7.9475 eV per atom
- Formation enthalpy at 0 K: 0.019 eV/atom
- Distance to the lowest polymorph of the same formula: 0.137 eV/atom


Entry from the Alexandria database: an optimized crystal structure of Th8Te3HOs3 (PBE-GGA).

a b c (Å): 14.4182 8.3320 8.9609
angles (deg): 90.00 122.48 90.00
Space group C2/m (No. 12)
Unique sites:
Th 0.0183 0.2440 0.2986 [8 per cell]
Th 0.2343 0.0000 0.7033 [4 per cell]
Th 0.2378 0.5000 0.7016 [4 per cell]
Te 0.0000 0.5000 0.0000 [2 per cell]
Te 0.2500 0.2500 0.0000 [4 per cell]
H 0.0000 0.5000 0.5000 [2 per cell]
Os 0.0000 0.0000 0.5000 [2 per cell]
Os 0.2500 0.2500 0.5000 [4 per cell]

- E_tot: -7.6148 eV per atom


Entry from the Alexandria database: an optimized crystal structure of CsTa2GeAs (PBE-GGA).

a b c (Å): 4.9604 4.9604 6.1644
angles (deg): 90.00 90.00 90.00
Space group P4/mmm (No. 123)
Unique sites:
Cs 0.0000 0.0000 0.0000 [1 per cell]
Ta 0.0000 0.5000 0.5000 [2 per cell]
Ge 0.0000 0.0000 0.5000 [1 per cell]
As 0.5000 0.5000 0.0000 [1 per cell]

- E_tot: -5.2297 eV per atom
- Formation enthalpy at 0 K: 1.535 eV/atom


Entry from the Alexandria database: an optimized crystal structure of Mn3Te4S2 (PBE-GGA).

a b c (Å): 3.5970 3.5970 20.0100
angles (deg): 90.00 90.00 120.00
Space group P-6m2 (No. 187)
Unique sites:
Mn 0.0000 0.0000 0.0000 [1 per cell]
Mn 0.3333 0.6667 0.3074 [2 per cell]
Te 0.0000 0.0000 0.2232 [2 per cell]
Te 0.0000 0.0000 0.3919 [2 per cell]
S 0.3333 0.6667 0.0656 [2 per cell]

- E_tot: -5.5313 eV per atom
- Formation energy (no corrections): -0.161 eV/atom